No. 1
Computed, not measured: a relaxed structure of NdCu8Pd3 at the PBE level of DFT.

a = 4.948 Å, b = 4.948 Å, c = 8.104 Å
α = 90.00°, β = 90.00°, γ = 120.00°
Fractional positions:
Nd (0.000, 0.000, 0.000)
Cu (0.165, 0.330, 0.672)
Cu (0.165, 0.835, 0.672)
Cu (0.333, 0.667, 0.432)
Cu (0.333, 0.667, 0.931)
Cu (0.503, 0.007, 0.197)
Cu (0.503, 0.497, 0.197)
Cu (0.670, 0.835, 0.672)
Cu (0.993, 0.497, 0.197)
Pd (0.000, 0.000, 0.379)
Pd (0.667, 0.333, 0.498)
Pd (0.667, 0.333, 0.852)

Electronic total energy: -4.598 eV per atom
Crystal system: trigonal



No. 2
Computed, not measured: a relaxed structure of LiVBAs2 at the PBE level of DFT.

a = 4.661 Å, b = 4.661 Å, c = 4.986 Å
α = 90.00°, β = 90.00°, γ = 90.00°
Fractional positions:
Li (0.000, 0.000, 0.000)
V (0.000, 0.000, 0.500)
B (0.500, 0.500, 0.000)
As (0.000, 0.500, 0.500)
As (0.500, 0.000, 0.500)

Electronic total energy: -4.300 eV per atom
Crystal system: tetragonal



No. 3
Computed, not measured: a relaxed structure of Ca3BeRh at the PBE level of DFT.

a = 5.405 Å, b = 5.405 Å, c = 5.405 Å
α = 90.00°, β = 90.00°, γ = 90.00°
Fractional positions:
Ca (0.000, 0.000, 0.500)
Ca (0.000, 0.500, 0.000)
Ca (0.500, 0.000, 0.000)
Be (0.500, 0.500, 0.500)
Rh (0.000, 0.000, 0.000)

Electronic total energy: -3.175 eV per atom
Crystal system: cubic



No. 4
Computed, not measured: a relaxed structure of Ce2SbI at the PBE level of DFT.

a = 3.890 Å, b = 3.890 Å, c = 7.881 Å
α = 90.00°, β = 90.00°, γ = 90.00°
Fractional positions:
Ce (0.000, 0.000, 0.228)
Ce (0.000, 0.000, 0.772)
Sb (0.500, 0.500, 0.000)
I (0.500, 0.500, 0.500)

Uncorrected formation energy: -865 meV/atom
Crystal system: tetragonal



No. 5
Computed, not measured: a relaxed structure of MgCu2Se2 at the PBE level of DFT.

a = 8.271 Å, b = 8.271 Å, c = 6.444 Å
α = 90.00°, β = 90.00°, γ = 151.53°
Fractional positions:
Mg (0.089, 0.911, 0.500)
Mg (0.911, 0.089, 0.000)
Cu (0.197, 0.803, 0.856)
Cu (0.387, 0.613, 0.453)
Cu (0.613, 0.387, 0.953)
Cu (0.803, 0.197, 0.356)
Se (0.067, 0.933, 0.104)
Se (0.314, 0.686, 0.108)
Se (0.686, 0.314, 0.608)
Se (0.933, 0.067, 0.604)

Uncorrected formation energy: -468 meV/atom
Crystal system: orthorhombic



No. 6
Computed, not measured: a relaxed structure of PmSbAu at the PBE level of DFT.

a = 6.241 Å, b = 6.241 Å, c = 6.241 Å
α = 136.67°, β = 95.98°, γ = 99.70°
Fractional positions:
Pm (0.000, 0.000, 0.000)
Pm (0.542, 0.042, 0.500)
Sb (0.427, 0.679, 0.748)
Sb (0.931, 0.679, 0.252)
Au (0.165, 0.346, 0.819)
Au (0.527, 0.346, 0.181)

Uncorrected formation energy: -831 meV/atom
Crystal system: orthorhombic



No. 7
Computed, not measured: a relaxed structure of Mn3Se4I2 at the PBE level of DFT.

a = 3.711 Å, b = 3.711 Å, c = 20.310 Å
α = 90.00°, β = 90.00°, γ = 120.00°
Fractional positions:
Mn (0.000, 0.000, 0.000)
Mn (0.333, 0.667, 0.346)
Mn (0.333, 0.667, 0.654)
Se (0.000, 0.000, 0.276)
Se (0.000, 0.000, 0.417)
Se (0.000, 0.000, 0.583)
Se (0.000, 0.000, 0.724)
I (0.333, 0.667, 0.093)
I (0.333, 0.667, 0.907)

Uncorrected formation energy: -241 meV/atom
Crystal system: hexagonal



No. 8
Computed, not measured: a relaxed structure of Mn2CdMo at the PBE level of DFT.

a = 5.021 Å, b = 5.021 Å, c = 5.021 Å
α = 136.01°, β = 136.01°, γ = 63.97°
Fractional positions:
Mn (0.000, 0.000, 0.000)
Mn (0.750, 0.250, 0.500)
Cd (0.500, 0.500, 0.000)
Mo (0.250, 0.750, 0.500)

Electronic total energy: -7.065 eV per atom
Crystal system: tetragonal



No. 9
Computed, not measured: a relaxed structure of CaGdRu at the PBE level of DFT.

a = 6.968 Å, b = 6.968 Å, c = 6.968 Å
α = 151.14°, β = 151.14°, γ = 41.27°
Fractional positions:
Ca (0.000, 0.000, 0.000)
Gd (0.253, 0.253, 0.000)
Ru (0.641, 0.641, 0.000)

Electronic total energy: -8.557 eV per atom
Crystal system: tetragonal



No. 10
Computed, not measured: a relaxed structure of Tl2FeSb at the PBE level of DFT.

a = 11.668 Å, b = 11.668 Å, c = 11.668 Å
α = 158.98°, β = 158.98°, γ = 29.89°
Fractional positions:
Tl (0.117, 0.625, 0.992)
Tl (0.375, 0.367, 0.492)
Tl (0.633, 0.125, 0.008)
Tl (0.875, 0.883, 0.508)
Fe (0.000, 0.000, 0.000)
Fe (0.750, 0.250, 0.500)
Sb (0.250, 0.750, 0.500)
Sb (0.500, 0.500, 0.000)

Uncorrected formation energy: 551 meV/atom
Crystal system: tetragonal



No. 11
Computed, not measured: a relaxed structure of CdPtNF2 at the PBE level of DFT.

a = 4.189 Å, b = 4.189 Å, c = 4.579 Å
α = 90.00°, β = 90.00°, γ = 90.00°
Fractional positions:
Cd (0.000, 0.000, 0.000)
Pt (0.500, 0.500, 0.500)
N (0.000, 0.000, 0.500)
F (0.000, 0.500, 0.000)
F (0.500, 0.000, 0.000)

Uncorrected formation energy: 485 meV/atom
Crystal system: tetragonal



No. 12
Computed, not measured: a relaxed structure of K2FeAs at the PBE level of DFT.

a = 3.448 Å, b = 3.448 Å, c = 10.045 Å
α = 90.00°, β = 90.00°, γ = 90.00°
Fractional positions:
K (0.000, 0.000, 0.000)
K (0.500, 0.500, 0.416)
Fe (0.500, 0.500, 0.731)
As (0.000, 0.000, 0.673)

Electronic total energy: -3.640 eV per atom
Crystal system: tetragonal



No. 13
Computed, not measured: a relaxed structure of AgRu2Br at the PBE level of DFT.

a = 3.907 Å, b = 3.907 Å, c = 4.661 Å
α = 90.00°, β = 90.00°, γ = 90.00°
Fractional positions:
Ag (0.000, 0.000, 0.000)
Ru (0.000, 0.500, 0.500)
Ru (0.500, 0.000, 0.500)
Br (0.500, 0.500, 0.000)

Uncorrected formation energy: 1156 meV/atom
Crystal system: tetragonal



No. 14
Computed, not measured: a relaxed structure of PaAg3Pd4 at the PBE level of DFT.

a = 4.267 Å, b = 4.267 Å, c = 8.369 Å
α = 104.68°, β = 104.68°, γ = 89.98°
Fractional positions:
Pa (0.000, 0.000, 0.000)
Ag (0.254, 0.254, 0.509)
Ag (0.500, 0.500, 0.000)
Ag (0.746, 0.746, 0.491)
Pd (0.122, 0.622, 0.243)
Pd (0.378, 0.878, 0.757)
Pd (0.622, 0.122, 0.243)
Pd (0.878, 0.378, 0.757)

Electronic total energy: -5.162 eV per atom
Crystal system: monoclinic



No. 15
Computed, not measured: a relaxed structure of ZrZnRe2 at the PBE level of DFT.

a = 2.870 Å, b = 4.422 Å, c = 5.309 Å
α = 90.00°, β = 101.88°, γ = 90.00°
Fractional positions:
Zr (0.000, 0.000, 0.000)
Zn (0.414, 0.500, 0.781)
Re (0.449, 0.000, 0.493)
Re (0.737, 0.500, 0.316)

Electronic total energy: -8.667 eV per atom
Crystal system: monoclinic



No. 16
Computed, not measured: a relaxed structure of CdInHg2 at the PBE level of DFT.

a = 5.989 Å, b = 5.989 Å, c = 5.989 Å
α = 142.35°, β = 126.75°, γ = 67.04°
Fractional positions:
Cd (0.000, 0.000, 0.000)
In (0.500, 0.500, 0.000)
Hg (0.245, 0.745, 0.500)
Hg (0.755, 0.255, 0.500)

Electronic total energy: -1.039 eV per atom
Crystal system: orthorhombic



No. 17
Computed, not measured: a relaxed structure of Pr3ErTl4 at the PBE level of DFT.

a = 3.850 Å, b = 3.850 Å, c = 15.896 Å
α = 90.00°, β = 90.00°, γ = 90.00°
Fractional positions:
Pr (0.000, 0.000, 0.000)
Pr (0.000, 0.000, 0.258)
Pr (0.000, 0.000, 0.742)
Er (0.000, 0.000, 0.500)
Tl (0.500, 0.500, 0.129)
Tl (0.500, 0.500, 0.387)
Tl (0.500, 0.500, 0.613)
Tl (0.500, 0.500, 0.871)

Electronic total energy: -3.926 eV per atom
Crystal system: tetragonal



No. 18
Computed, not measured: a relaxed structure of PmHf2S at the PBE level of DFT.

a = 9.504 Å, b = 9.504 Å, c = 9.504 Å
α = 20.99°, β = 20.99°, γ = 20.99°
Fractional positions:
Pm (0.000, 0.000, 0.000)
Hf (0.113, 0.113, 0.113)
Hf (0.887, 0.887, 0.887)
S (0.500, 0.500, 0.500)

Uncorrected formation energy: -294 meV/atom
Crystal system: trigonal



No. 19
Computed, not measured: a relaxed structure of AcZn2CdPt2 at the PBE level of DFT.

a = 4.495 Å, b = 4.495 Å, c = 7.120 Å
α = 90.00°, β = 90.00°, γ = 120.00°
Fractional positions:
Ac (0.000, 0.000, 0.000)
Zn (0.333, 0.667, 0.322)
Zn (0.667, 0.333, 0.678)
Cd (0.000, 0.000, 0.500)
Pt (0.333, 0.667, 0.714)
Pt (0.667, 0.333, 0.286)

Electronic total energy: -3.960 eV per atom
Crystal system: trigonal



No. 20
Computed, not measured: a relaxed structure of AlGa5Ag4 at the PBE level of DFT.

a = 7.899 Å, b = 9.866 Å, c = 4.778 Å
α = 90.00°, β = 90.00°, γ = 90.00°
Fractional positions:
Al (0.250, 0.250, 0.221)
Al (0.750, 0.750, 0.779)
Ga (0.079, 0.001, 0.240)
Ga (0.079, 0.499, 0.240)
Ga (0.250, 0.750, 0.009)
Ga (0.421, 0.001, 0.240)
Ga (0.421, 0.499, 0.240)
Ga (0.579, 0.501, 0.760)
Ga (0.579, 0.999, 0.760)
Ga (0.750, 0.250, 0.991)
Ga (0.921, 0.501, 0.760)
Ga (0.921, 0.999, 0.760)
Ag (0.059, 0.750, 0.524)
Ag (0.250, 0.105, 0.738)
Ag (0.250, 0.395, 0.738)
Ag (0.441, 0.750, 0.524)
Ag (0.559, 0.250, 0.476)
Ag (0.750, 0.605, 0.262)
Ag (0.750, 0.895, 0.262)
Ag (0.941, 0.250, 0.476)

Electronic total energy: -2.980 eV per atom
Crystal system: orthorhombic



Q: Which M_tot values were calculated for the entries above? A: 0.00, 1.34, 0.00, 3.53, 0.00, 0.00, 11.13, 3.78, 7.34, 6.06, 1.80, 2.13, 3.77, 0.00, 0.00, 0.00, 0.00, 0.57, 0.00, 0.00, in μB per cell.